# Ho2Be3Cu12Ge

An optimized crystal structure of Ho2Be3Cu12Ge (GGA-PBE, the Alexandria database).

For the calculated density, the calculation gives 6.97 Mg/m³. The formation enthalpy at 0 K comes out at 0.300 eV per atom. The space group is R-3m (166). The calculation puts the raw total energy at -3.8167 eV per atom.

POSCAR file:
```
Ho2Be3Cu12Ge
1.0
7.250 -0.124 -0.088
3.473 6.366 -0.088
3.473 2.021 6.037
Ho Be Cu Ge
2 3 12 1
Direct
0.601 0.601 0.601
0.399 0.399 0.399
0.500 0.000 0.000
0.000 0.500 0.000
0.000 0.000 0.500
0.339 0.339 0.897
0.871 0.871 0.393
0.393 0.871 0.871
0.897 0.339 0.339
0.871 0.393 0.871
0.339 0.897 0.339
0.661 0.661 0.103
0.129 0.129 0.607
0.607 0.129 0.129
0.103 0.661 0.661
0.129 0.607 0.129
0.661 0.103 0.661
0.000 0.000 0.000
```

# LiSiNi2

An optimized crystal structure of LiSiNi2 (GGA-PBE, the Alexandria database).

For the calculated density, the calculation gives 5.89 Mg/m³. Its raw formation energy is -419 meV/atom. The space group is P4/mmm (123). The calculation puts the raw total energy at -5.1442 eV per atom.

POSCAR file:
```
LiSiNi2
1.0
-1.354 3.618 1.035
-2.079 -1.140 1.266
2.144 -0.163 3.373
Ni Si Li
2 1 1
Direct
0.000 0.125 0.875
0.500 0.125 0.375
0.000 0.625 0.375
0.500 0.625 0.875
```

# RuPt2Se

An optimized crystal structure of RuPt2Se (GGA-PBE, the Alexandria database).

For the calculated density, the calculation gives 14.88 Mg/m³. Its raw formation energy is 206 meV/atom. The space group is Pmm2 (25). The calculation puts the raw total energy at -6.0044 eV per atom.

POSCAR file:
```
RuPt2Se
1.0
2.891 0.000 0.000
0.000 3.713 0.000
0.000 0.000 5.930
Pt Ru Se
2 1 1
Direct
0.000 0.000 0.015
0.500 0.500 0.260
0.000 0.000 0.522
0.500 0.500 0.704
```

# VPHRuS

An optimized crystal structure of VPHRuS (GGA-PBE, the Alexandria database).

For the calculated density, the calculation gives 4.97 Mg/m³. The energy above the lowest structure with this stoichiometry is 94 meV/atom. The space group is Cm (8). The calculation puts the raw total energy at -6.6489 eV per atom.

POSCAR file:
```
VPHRuS
1.0
8.969 0.000 -0.008
0.000 3.083 0.000
-1.019 0.000 5.224
V P H Ru S
2 2 2 2 2
Direct
0.998 0.000 0.504
0.998 0.500 0.004
0.804 0.000 0.108
0.804 0.500 0.608
0.460 0.000 0.333
0.460 0.500 0.833
0.645 0.000 0.391
0.645 0.500 0.891
0.167 0.000 0.893
0.167 0.500 0.393
```

# KRb2AsF

An optimized crystal structure of KRb2AsF (GGA-PBE, the Alexandria database).

For the calculated density, the calculation gives 3.10 Mg/m³. Its raw formation energy is -1173 meV/atom. The space group is P4/mmm (123). The calculation puts the raw total energy at -3.0840 eV per atom.

POSCAR file:
```
KRb2AsF
1.0
5.556 0.000 0.000
0.000 5.556 0.000
0.000 0.000 5.272
As K Rb F
1 1 2 1
Direct
0.500 0.500 0.500
0.000 0.000 0.500
0.000 0.500 0.000
0.500 0.000 0.000
0.000 0.000 0.000
```

# Rb2TlSeS

An optimized crystal structure of Rb2TlSeS (GGA-PBE, the Alexandria database).

For the calculated density, the calculation gives 4.29 Mg/m³. Its raw formation energy is -799 meV/atom. The space group is P2_1/m (11). The calculation puts the raw total energy at -3.1821 eV per atom.

POSCAR file:
```
Rb2TlSeS
1.0
-4.830 -2.264 0.611
2.425 -3.618 5.773
-3.252 8.138 4.443
Rb Tl Se S
4 2 2 2
Direct
0.750 0.880 0.656
0.750 0.746 0.039
0.250 0.120 0.344
0.250 0.254 0.961
0.250 0.498 0.652
0.750 0.502 0.348
0.250 0.646 0.375
0.750 0.354 0.625
0.250 0.791 0.847
0.750 0.209 0.153
```

# Sr3Ce2NdTe6

An optimized crystal structure of Sr3Ce2NdTe6 (GGA-PBE, the Alexandria database).

For the calculated density, the calculation gives 5.78 Mg/m³. Its raw formation energy is -1519 meV/atom. The space group is C2/m (12). The calculation puts the raw total energy at -4.8965 eV per atom.

POSCAR file:
```
Sr3Ce2NdTe6
1.0
4.572 0.000 0.000
0.000 9.320 0.204
-2.286 -2.820 9.731
Sr Ce Nd Te
3 2 1 6
Direct
0.500 0.500 0.000
0.834 0.166 0.667
0.166 0.834 0.333
0.833 0.667 0.667
0.167 0.333 0.333
0.500 0.000 0.000
0.335 0.913 0.671
0.668 0.579 0.337
0.665 0.087 0.329
0.002 0.245 0.004
0.998 0.755 0.996
0.332 0.421 0.663
```

# KNa2Re

An optimized crystal structure of KNa2Re (GGA-PBE, the Alexandria database).

For the calculated density, the calculation gives 3.34 Mg/m³. The energy above the lowest structure with this stoichiometry is 131 meV/atom. The formation enthalpy at 0 K comes out at 1.504 eV per atom. The space group is I-42d (122). The calculation puts the raw total energy at -2.5423 eV per atom.

POSCAR file:
```
KNa2Re
1.0
-3.540 -7.103 -3.954
4.871 1.600 -7.234
3.183 -4.709 -4.332
Re K Na
2 2 4
Direct
0.000 0.000 0.000
0.750 0.250 0.500
0.500 0.500 0.000
0.250 0.750 0.500
0.661 0.125 0.250
0.089 0.625 0.250
0.375 0.339 0.750
0.875 0.911 0.750
```

# CuHgAs2O8

An optimized crystal structure of CuHgAs2O8 (GGA-PBE, the Alexandria database).

For the calculated density, the calculation gives 5.68 Mg/m³. Its raw formation energy is -520 meV/atom. The space group is I-4m2 (119). The calculation puts the raw total energy at -4.9670 eV per atom.

POSCAR file:
```
CuHgAs2O8
1.0
5.923 0.033 0.000
-2.597 5.323 0.000
-1.663 -2.678 5.014
Cu Hg As O
1 1 2 8
Direct
0.250 0.750 0.500
0.000 0.000 0.000
0.750 0.250 0.500
0.500 0.500 0.000
0.384 0.056 0.328
0.320 0.506 0.185
0.320 0.135 0.815
0.728 0.056 0.672
0.865 0.680 0.185
0.944 0.272 0.328
0.944 0.616 0.672
0.494 0.680 0.815
```

# SmSc

An optimized crystal structure of SmSc (GGA-PBE, the Alexandria database).

For the calculated density, the calculation gives 5.63 Mg/m³. The energy above the lowest structure with this stoichiometry is 17 meV/atom. The formation enthalpy at 0 K comes out at 0.059 eV per atom. The space group is C2/m (12). The calculation puts the raw total energy at -5.4660 eV per atom.

POSCAR file:
```
SmSc
1.0
3.458 0.000 0.000
-1.729 5.742 -0.057
0.000 -1.007 5.810
Sm Sc
2 2
Direct
0.879 0.758 0.630
0.121 0.242 0.370
0.370 0.740 0.121
0.630 0.260 0.879
```

# SrNdP2

An optimized crystal structure of SrNdP2 (GGA-PBE, the Alexandria database).

For the calculated density, the calculation gives 4.36 Mg/m³. The energy above the lowest structure with this stoichiometry is 77 meV/atom. The formation enthalpy at 0 K comes out at -1.045 eV per atom. The space group is R3m (160). The calculation puts the raw total energy at -5.3628 eV per atom.

POSCAR file:
```
SrNdP2
1.0
4.187 0.000 0.000
2.094 3.626 0.000
2.094 1.209 7.376
Sr Nd P
1 1 2
Direct
0.497 0.497 0.510
0.669 0.669 0.992
0.076 0.076 0.771
0.258 0.258 0.227
```

# CuHg2As2

An optimized crystal structure of CuHg2As2 (GGA-PBE, the Alexandria database).

For the calculated density, the calculation gives 9.04 Mg/m³. The energy above the lowest structure with this stoichiometry is 0 meV/atom. The formation enthalpy at 0 K comes out at 0.084 eV per atom. The space group is P4/mbm (127). The calculation puts the raw total energy at -2.7159 eV per atom.

POSCAR file:
```
CuHg2As2
1.0
6.367 0.000 0.000
0.000 6.367 0.000
0.000 0.000 5.567
As Hg Cu
4 4 2
Direct
0.359 0.859 0.000
0.859 0.641 0.000
0.641 0.141 0.000
0.141 0.359 0.000
0.327 0.827 0.500
0.827 0.673 0.500
0.673 0.173 0.500
0.173 0.327 0.500
0.000 0.000 0.000
0.500 0.500 0.000
```

# MgGeAu4

An optimized crystal structure of MgGeAu4 (GGA-PBE, the Alexandria database).

For the calculated density, the calculation gives 12.80 Mg/m³. The energy above the lowest structure with this stoichiometry is 74 meV/atom. The formation enthalpy at 0 K comes out at -0.142 eV per atom. The space group is C2/m (12). The calculation puts the raw total energy at -3.3627 eV per atom.

POSCAR file:
```
MgGeAu4
1.0
-4.341 -1.814 0.412
3.594 -1.914 2.366
-3.009 7.455 1.122
Mg Ge Au
1 1 4
Direct
0.000 0.000 0.000
0.500 0.000 0.500
0.595 0.190 0.901
0.405 0.810 0.099
0.102 0.204 0.407
0.899 0.797 0.593
```

# NdHoAgPb

An optimized crystal structure of NdHoAgPb (GGA-PBE, the Alexandria database).

For the calculated density, the calculation gives 9.53 Mg/m³. The formation enthalpy at 0 K comes out at -0.396 eV per atom. The space group is F-43m (216). The calculation puts the raw total energy at -4.3727 eV per atom.

POSCAR file:
```
NdHoAgPb
1.0
-0.216 4.956 2.022
-1.053 0.727 5.202
3.856 1.718 3.299
Pb Nd Ho Ag
1 1 1 1
Direct
0.750 0.750 0.750
0.500 0.500 0.500
0.000 0.000 0.000
0.250 0.250 0.250
```

# Dy3IrPt

An optimized crystal structure of Dy3IrPt (GGA-PBE, the Alexandria database).

For the calculated density, the calculation gives 11.63 Mg/m³. The energy above the lowest structure with this stoichiometry is 57 meV/atom. The formation enthalpy at 0 K comes out at -0.881 eV per atom. The space group is Pmmn (59). The calculation puts the raw total energy at -6.6231 eV per atom.

POSCAR file:
```
Dy3IrPt
1.0
4.097 0.000 0.000
0.000 6.939 0.000
0.000 0.000 8.784
Dy Ir Pt
6 2 2
Direct
0.000 0.762 0.334
0.500 0.738 0.666
0.500 0.262 0.666
0.000 0.238 0.334
0.000 0.000 0.941
0.500 0.500 0.059
0.000 0.000 0.607
0.500 0.500 0.393
0.500 0.000 0.159
0.000 0.500 0.841
```

# Ta2CoRu

An optimized crystal structure of Ta2CoRu (GGA-PBE, the Alexandria database).

For the calculated density, the calculation gives 14.24 Mg/m³. The formation enthalpy at 0 K comes out at -0.204 eV per atom. The space group is Pmmm (47). The calculation puts the raw total energy at -10.2258 eV per atom.

POSCAR file:
```
Ta2CoRu
1.0
-2.900 1.785 -0.207
-0.500 -1.133 -2.773
-3.440 -5.635 -0.405
Co Ru Ta
1 1 2
Direct
0.500 0.250 0.250
0.500 0.750 0.750
0.000 0.993 0.007
0.000 0.507 0.493
```

# FeReP

An optimized crystal structure of FeReP (GGA-PBE, the Alexandria database).

For the calculated density, the calculation gives 12.02 Mg/m³. The energy above the lowest structure with this stoichiometry is 212 meV/atom. The formation enthalpy at 0 K comes out at 0.136 eV per atom. The space group is Imm2 (44). The calculation puts the raw total energy at -8.6378 eV per atom.

POSCAR file:
```
FeReP
1.0
4.285 -0.015 -0.007
1.763 3.906 0.007
-2.691 -2.464 2.248
Fe P Re
1 1 1
Direct
0.008 0.008 0.000
0.330 0.330 0.000
0.662 0.662 0.000
```

# Mg2CoIr

An optimized crystal structure of Mg2CoIr (GGA-PBE, the Alexandria database).

For the calculated density, the calculation gives 8.42 Mg/m³. The energy above the lowest structure with this stoichiometry is 69 meV/atom. The formation enthalpy at 0 K comes out at -0.026 eV per atom. The space group is Immm (71). The calculation puts the raw total energy at -4.8151 eV per atom.

POSCAR file:
```
Mg2CoIr
1.0
-2.288 -2.541 -3.613
-3.868 -2.694 1.589
1.717 4.667 -0.148
Co Ir Mg
1 1 2
Direct
0.250 0.750 0.500
0.750 0.250 0.500
0.009 0.009 0.000
0.491 0.491 0.000
```

# TlTc2Ru

An optimized crystal structure of TlTc2Ru (GGA-PBE, the Alexandria database).

For the calculated density, the calculation gives 12.60 Mg/m³. The energy above the lowest structure with this stoichiometry is 91 meV/atom. The formation enthalpy at 0 K comes out at 0.490 eV per atom. The space group is Pmmm (47). The calculation puts the raw total energy at -7.6039 eV per atom.

POSCAR file:
```
TlTc2Ru
1.0
4.073 0.000 0.000
0.000 2.862 0.006
0.000 2.852 5.674
Ru Tc Tl
1 2 1
Direct
0.500 0.750 0.750
0.000 0.043 0.958
0.000 0.457 0.542
0.500 0.250 0.250
```

# EuNbGe2

An optimized crystal structure of EuNbGe2 (GGA-PBE, the Alexandria database).

For the calculated density, the calculation gives 7.26 Mg/m³. The energy above the lowest structure with this stoichiometry is 31 meV/atom. The formation enthalpy at 0 K comes out at -0.343 eV per atom. The space group is R-3m (166). The calculation puts the raw total energy at -7.7380 eV per atom.

POSCAR file:
```
EuNbGe2
1.0
-2.493 2.787 0.656
-3.721 -0.659 -0.357
-2.394 -1.198 6.981
Eu Nb Ge
1 1 2
Direct
0.500 0.500 0.500
0.000 0.000 0.000
0.262 0.262 0.213
0.738 0.738 0.787
```